An optimized crystal structure of Sc6Cu5Ir. Source: the Alexandria database, functional PBE-GGA.

Summary:
The density of states at the Fermi level is 9.10 states/eV/f.u. Its mass density is 6.25 g/cm³. The calculation puts the formation energy at -422 meV/atom.

Cell: 4.5917 13.8454 6.5144 Å, 90.00 90.00 90.00°
Space group Cmmm (No. 65)
Symmetry-distinct sites (fractional):
Sc: 0.0000 0.0000 0.2455
Sc: 0.0000 0.3350 0.2482
Cu: 0.0000 0.1641 0.5000
Cu: 0.0000 0.1678 0.0000
Cu: 0.0000 0.5000 0.5000
Ir: 0.0000 0.5000 0.0000


An optimized crystal structure of ScCu2Ir2. Source: the Alexandria database, functional PBE-GGA.

Summary:
The density of states at the Fermi level is 5.40 states/eV/f.u. Its mass density is 12.53 g/cm³. The calculation puts the formation energy at -149 meV/atom.

Cell: 7.0464 7.0464 2.9702 Å, 90.00 90.00 90.00°
Space group P4/mbm (No. 127)
Symmetry-distinct sites (fractional):
Sc: 0.0000 0.0000 0.0000
Cu: 0.1251 0.3749 0.0000
Ir: 0.1725 0.6725 0.5000


An optimized crystal structure of Sc4Cu3Ir. Source: the Alexandria database, functional PBE-GGA.

Summary:
The density of states at the Fermi level is 5.94 states/eV/f.u. Its mass density is 6.79 g/cm³. The calculation puts the formation energy at -487 meV/atom.

Cell: 4.5921 4.5921 6.5223 Å, 90.00 90.00 90.00°
Space group P4/mmm (No. 123)
Symmetry-distinct sites (fractional):
Sc: 0.0000 0.5000 0.2467
Cu: 0.0000 0.0000 0.0000
Cu: 0.0000 0.0000 0.5000
Cu: 0.5000 0.5000 0.5000
Ir: 0.5000 0.5000 0.0000


An optimized crystal structure of Sc2Cu2Ir. Source: the Alexandria database, functional PBE-GGA.

Summary:
The density of states at the Fermi level is 1.72 states/eV/f.u. Its mass density is 8.44 g/cm³. The calculation puts the formation energy at -454 meV/atom.

Cell: 8.5887 3.9987 6.1979 Å, 90.00 130.87 90.00°
Space group C2/m (No. 12)
Symmetry-distinct sites (fractional):
Sc: 0.0761 0.0000 0.3029
Cu: 0.1867 0.5000 0.0805
Ir: 0.0000 0.5000 0.5000


An optimized crystal structure of Sc4CuIr. Source: the Alexandria database, functional PBE-GGA.

Summary:
The density of states at the Fermi level is 8.19 states/eV/f.u. Its mass density is 6.32 g/cm³. The calculation puts the formation energy at 387 meV/atom.

Cell: 7.7088 7.7088 7.7088 Å, 90.00 90.00 90.00°
Space group F-43m (No. 216)
Symmetry-distinct sites (fractional):
Sc: 0.1233 0.1233 0.3767
Cu: 0.0000 0.0000 0.0000
Ir: 0.2500 0.2500 0.7500


An optimized crystal structure of ScCuIr3. Source: the Alexandria database, functional PBE-GGA.

Summary:
The density of states at the Fermi level is 7.23 states/eV/f.u. Its mass density is 11.23 g/cm³. The calculation puts the formation energy at 1671 meV/atom.

Cell: 4.6621 4.6621 4.6621 Å, 90.00 90.00 90.00°
Space group Pm-3m (No. 221)
Symmetry-distinct sites (fractional):
Sc: 0.0000 0.0000 0.0000
Cu: 0.5000 0.5000 0.5000
Ir: 0.0000 0.0000 0.5000


An optimized crystal structure of ScCu2Ir2. Source: the Alexandria database, functional PBE-GGA.

Summary:
The density of states at the Fermi level is 5.25 states/eV/f.u. Its mass density is 12.24 g/cm³. The calculation puts the formation energy at -101 meV/atom.

Cell: 7.1514 7.1514 2.9534 Å, 90.00 90.00 90.00°
Space group P4/mbm (No. 127)
Symmetry-distinct sites (fractional):
Sc: 0.0000 0.0000 0.0000
Cu: 0.1680 0.3320 0.5000
Ir: 0.1305 0.6305 0.0000


An optimized crystal structure of Sc2CuIr. Source: the Alexandria database, functional PBE-GGA.

Summary:
The density of states at the Fermi level is 3.38 states/eV/f.u. Its mass density is 8.37 g/cm³. The calculation puts the formation energy at -477 meV/atom.

Cell: 3.6610 4.1815 8.9589 Å, 90.00 90.00 90.00°
Space group Imm2 (No. 44)
Symmetry-distinct sites (fractional):
Sc: 0.0000 0.0000 0.0000
Sc: 0.0000 0.5000 0.2358
Cu: 0.0000 0.5000 0.7569
Ir: 0.0000 0.0000 0.4982


An optimized crystal structure of Sc4CuIr3. Source: the Alexandria database, functional PBE-GGA.

Summary:
The density of states at the Fermi level is 4.78 states/eV/f.u. Its mass density is 10.02 g/cm³. The calculation puts the formation energy at -861 meV/atom.

Cell: 4.5280 4.5280 13.2516 Å, 90.00 90.00 90.00°
Space group I4/mmm (No. 139)
Symmetry-distinct sites (fractional):
Sc: 0.0000 0.5000 0.1254
Cu: 0.0000 0.0000 0.0000
Ir: 0.0000 0.0000 0.2491
Ir: 0.0000 0.0000 0.5000


An optimized crystal structure of Sc2CuIr. Source: the Alexandria database, functional PBE-GGA.

Summary:
The density of states at the Fermi level is 3.40 states/eV/f.u. Its mass density is 7.49 g/cm³. The calculation puts the formation energy at 57 meV/atom.

Cell: 3.0454 3.0454 28.6200 Å, 90.00 90.00 120.00°
Space group R-3m (No. 166, hexagonal axes)
Symmetry-distinct sites (fractional):
Sc: 0.0000 0.0000 0.0939
Cu: 0.0000 0.0000 0.0000
Ir: 0.0000 0.0000 0.5000


An optimized crystal structure of ScCu4Ir. Source: the Alexandria database, functional PBE-GGA.

Summary:
The density of states at the Fermi level is 3.83 states/eV/f.u. Its mass density is 10.04 g/cm³. The calculation puts the formation energy at -241 meV/atom.

Cell: 6.8766 6.8766 6.8766 Å, 90.00 90.00 90.00°
Space group F-43m (No. 216)
Symmetry-distinct sites (fractional):
Sc: 0.0000 0.0000 0.0000
Cu: 0.1245 0.1245 0.3755
Ir: 0.2500 0.2500 0.7500


An optimized crystal structure of Sc2CuIr. Source: the Alexandria database, functional PBE-GGA.

Summary:
The density of states at the Fermi level is 2.12 states/eV/f.u. Its mass density is 8.42 g/cm³. The calculation puts the formation energy at -698 meV/atom.

Cell: 6.4605 6.4892 6.5076 Å, 90.00 90.00 90.00°
Space group Fmmm (No. 69)
Symmetry-distinct sites (fractional):
Sc: 0.2500 0.2500 0.2500
Cu: 0.0000 0.0000 0.0000
Ir: 0.0000 0.0000 0.5000


An optimized crystal structure of Sc2CuIr. Source: the Alexandria database, functional PBE-GGA.

Summary:
The density of states at the Fermi level is 4.92 states/eV/f.u. Its mass density is 8.74 g/cm³. The calculation puts the formation energy at -375 meV/atom.

Cell: 6.4034 6.4034 6.4034 Å, 90.00 90.00 90.00°
Space group F-43m (No. 216)
Symmetry-distinct sites (fractional):
Sc: 0.0000 0.0000 0.0000
Sc: 0.2500 0.2500 0.2500
Cu: 0.0000 0.0000 0.5000
Ir: 0.2500 0.2500 0.7500


An optimized crystal structure of ScCuIr4. Source: the Alexandria database, functional PBE-GGA.

Summary:
The density of states at the Fermi level is 6.51 states/eV/f.u. Its mass density is 14.81 g/cm³. The calculation puts the formation energy at -163 meV/atom.

Cell: 7.3273 7.3273 7.3273 Å, 90.00 90.00 90.00°
Space group F-43m (No. 216)
Symmetry-distinct sites (fractional):
Sc: 0.0000 0.0000 0.0000
Cu: 0.2500 0.2500 0.7500
Ir: 0.1249 0.1249 0.3751


An optimized crystal structure of Sc2CuIrSe. Source: the Alexandria database, functional PBE-GGA.

Summary:
The density of states at the Fermi level is 3.56 states/eV/f.u. Its mass density is 5.81 g/cm³. As for the electronic total energy: -28.59 eV per cell.

Cell: 5.0410 5.0410 4.7764 Å, 90.00 90.00 90.00°
Space group P4/mmm (No. 123)
Symmetry-distinct sites (fractional):
Sc: 0.0000 0.5000 0.0000
Cu: 0.0000 0.0000 0.5000
Ir: 0.5000 0.5000 0.0000
Se: 0.5000 0.5000 0.5000


An optimized crystal structure of ScTiCuIr. Source: the Alexandria database, functional PBE-GGA.

Summary:
The density of states at the Fermi level is 3.43 states/eV/f.u. Its mass density is 9.08 g/cm³. The calculation puts the formation energy at -569 meV/atom.

Cell: 6.3404 6.3404 6.3404 Å, 90.00 90.00 90.00°
Space group F-43m (No. 216)
Symmetry-distinct sites (fractional):
Sc: 0.0000 0.0000 0.0000
Ti: 0.0000 0.0000 0.5000
Cu: 0.2500 0.2500 0.7500
Ir: 0.2500 0.2500 0.2500


An optimized crystal structure of ScTl2CuIr. Source: the Alexandria database, functional PBE-GGA.

Summary:
The density of states at the Fermi level is 1.62 states/eV/f.u. Its mass density is 8.62 g/cm³. The calculation puts the formation energy at 287 meV/atom.

Cell: 5.2629 5.2629 4.9353 Å, 90.00 90.00 90.00°
Space group P4/mmm (No. 123)
Symmetry-distinct sites (fractional):
Sc: 0.0000 0.0000 0.0000
Tl: 0.0000 0.5000 0.5000
Cu: 0.5000 0.5000 0.0000
Ir: 0.0000 0.0000 0.5000


An optimized crystal structure of TmScCuIr. Source: the Alexandria database, functional PBE-GGA.

Summary:
The density of states at the Fermi level is 3.39 states/eV/f.u. Its mass density is 10.61 g/cm³. The calculation puts the formation energy at -658 meV/atom.

Cell: 6.6504 6.6504 6.6504 Å, 90.00 90.00 90.00°
Space group F-43m (No. 216)
Symmetry-distinct sites (fractional):
Tm: 0.0000 0.0000 0.0000
Sc: 0.0000 0.0000 0.5000
Cu: 0.2500 0.2500 0.2500
Ir: 0.2500 0.2500 0.7500


An optimized crystal structure of ScZnCuIr. Source: the Alexandria database, functional PBE-GGA.

Summary:
The density of states at the Fermi level is 2.15 states/eV/f.u. Its mass density is 9.90 g/cm³. The calculation puts the formation energy at -446 meV/atom.

Cell: 6.2619 6.2619 6.2619 Å, 90.00 90.00 90.00°
Space group F-43m (No. 216)
Symmetry-distinct sites (fractional):
Sc: 0.0000 0.0000 0.0000
Zn: 0.0000 0.0000 0.5000
Cu: 0.2500 0.2500 0.7500
Ir: 0.2500 0.2500 0.2500


An optimized crystal structure of Sc4ZnCuIr2. Source: the Alexandria database, functional PBE-GGA.

Summary:
The density of states at the Fermi level is 5.09 states/eV/f.u. Its mass density is 8.28 g/cm³. The calculation puts the formation energy at -706 meV/atom.

Cell: 4.6103 4.6103 22.6558 Å, 90.00 90.00 120.00°
Space group R-3m (No. 166, hexagonal axes)
Symmetry-distinct sites (fractional):
Sc: 0.0000 0.0000 0.1233
Sc: 0.0000 0.0000 0.3736
Zn: 0.0000 0.0000 0.5000
Cu: 0.0000 0.0000 0.0000
Ir: 0.0000 0.0000 0.2495